Entry 1:
A relaxed Nd2Si4Ni3Pt crystal. Source: Alexandria, functional PBE.

Cell and atoms, written as CIF:
```
data_Nd2Si4Ni3Pt
_chemical_formula_sum 'Nd2 Si4 Ni3 Pt1'
_cell_length_a 4.077
_cell_length_b 4.077
_cell_length_c 9.746
_cell_angle_alpha 90.00
_cell_angle_beta 90.00
_cell_angle_gamma 90.00
_space_group_name_H-M_alt 'P -4 m 2'
_space_group_IT_number 115
loop_
_space_group_symop_operation_xyz
'x,y,z'
'y,-x,-z'
'-x,-y,z'
'-y,x,-z'
'-x,y,z'
'-y,-x,-z'
'x,-y,z'
'y,x,-z'
loop_
_atom_site_label
_atom_site_type_symbol
_atom_site_fract_x
_atom_site_fract_y
_atom_site_fract_z
Nd1 Nd 0.000 0.500 0.242
Si1 Si 0.000 0.000 0.000
Si2 Si 0.000 0.500 0.638
Si3 Si 0.500 0.500 0.000
Ni1 Ni 0.000 0.500 0.881
Ni2 Ni 0.500 0.500 0.500
Pt1 Pt 0.000 0.000 0.500
```

## Properties
Uncorrected formation energy: -0.884 eV/atom
Fermi-level density of states: 6.76 states/eV/f.u.

Entry 2:
A relaxed Ba3Ga4Ag2 crystal. Source: Alexandria, functional PBE.

Cell and atoms, written as CIF:
```
data_Ba3Ga4Ag2
_chemical_formula_sum 'Ba6 Ga8 Ag4'
_cell_length_a 12.642
_cell_length_b 4.538
_cell_length_c 9.508
_cell_angle_alpha 90.00
_cell_angle_beta 98.04
_cell_angle_gamma 90.00
_space_group_name_H-M_alt 'C 1 2/m 1'
_space_group_IT_number 12
loop_
_space_group_symop_operation_xyz
'x,y,z'
'-x,-y,-z'
'-x,y,-z'
'x,-y,z'
'x+1/2,y+1/2,z'
'-x+1/2,-y+1/2,-z'
'-x+1/2,y+1/2,-z'
'x+1/2,-y+1/2,z'
loop_
_atom_site_label
_atom_site_type_symbol
_atom_site_fract_x
_atom_site_fract_y
_atom_site_fract_z
Ba1 Ba 0.000 0.000 0.000
Ba2 Ba 0.174 0.500 0.670
Ga1 Ga 0.050 0.000 0.395
Ga2 Ga 0.224 0.500 0.050
Ag1 Ag 0.108 0.500 0.274
```

## Properties
Polymorph energy (0 for the lowest one): 0.0 meV per atom
Fermi-level density of states: 5.13 states/eV/f.u.
Energy of formation from the pure elements: -3.26 eV per formula unit

Entry 3:
A relaxed GaAsO4 crystal. Source: Alexandria, functional PBE.

Cell and atoms, written as CIF:
```
data_GaAsO4
_chemical_formula_sum 'Ga3 As3 O12'
_cell_length_a 5.1111
_cell_length_b 5.1111
_cell_length_c 11.6431
_cell_angle_alpha 90.00
_cell_angle_beta 90.00
_cell_angle_gamma 120.00
_space_group_name_H-M_alt 'P 31 2 1'
_space_group_IT_number 152
loop_
_space_group_symop_operation_xyz
'x,y,z'
'-y,x-y,z+1/3'
'-x+y,-x,z+2/3'
'y,x,-z'
'x-y,-y,-z+2/3'
'-x,-x+y,-z+1/3'
loop_
_atom_site_label
_atom_site_type_symbol
_atom_site_fract_x
_atom_site_fract_y
_atom_site_fract_z
Ga1 Ga 0.0000 0.4548 0.1667
As1 As 0.0000 0.4540 0.6667
O1 O 0.0856 0.6886 0.7835
O2 O 0.1069 0.7075 0.2937
```

## Properties
Uncorrected formation energy: -1.473 eV/atom
Fermi-level density of states: 0.00 states/eV/f.u.

Entry 4:
A relaxed LaPW2 crystal. Source: Alexandria, functional PBE.

Cell and atoms, written as CIF:
```
data_LaPW2
_chemical_formula_sum 'La3 P3 W6'
_cell_length_a 3.1033
_cell_length_b 3.1033
_cell_length_c 26.9490
_cell_angle_alpha 90.00
_cell_angle_beta 90.00
_cell_angle_gamma 120.00
_space_group_name_H-M_alt 'R -3 m'
_space_group_IT_number 166
_space_group_name_Hall '-R 3 2"'
loop_
_atom_site_label
_atom_site_type_symbol
_atom_site_fract_x
_atom_site_fract_y
_atom_site_fract_z
La1 La 0.0000 0.0000 0.0000
P1 P 0.0000 0.0000 0.5000
W1 W 0.0000 0.0000 0.2300
```

## Properties
Polymorph energy (0 for the lowest one): 549.3 meV per atom
Fermi-level density of states: 2.93 states/eV/f.u.
Energy of formation from the pure elements: 1.93 eV per formula unit

Entry 5:
A relaxed NdSm3Er6Th2 crystal. Source: Alexandria, functional PBE.

Cell and atoms, written as CIF:
```
data_NdSm3Er6Th2
_chemical_formula_sum 'Nd2 Sm6 Er12 Th4'
_cell_length_a 6.196
_cell_length_b 10.729
_cell_length_c 11.693
_cell_angle_alpha 90.00
_cell_angle_beta 100.20
_cell_angle_gamma 90.00
_space_group_name_H-M_alt 'C 1 2/m 1'
_space_group_IT_number 12
loop_
_space_group_symop_operation_xyz
'x,y,z'
'-x,-y,-z'
'-x,y,-z'
'x,-y,z'
'x+1/2,y+1/2,z'
'-x+1/2,-y+1/2,-z'
'-x+1/2,y+1/2,-z'
'x+1/2,-y+1/2,z'
loop_
_atom_site_label
_atom_site_type_symbol
_atom_site_fract_x
_atom_site_fract_y
_atom_site_fract_z
Nd1 Nd 0.000 0.000 0.000
Sm1 Sm 0.000 0.166 0.500
Sm2 Sm 0.000 0.500 0.500
Er1 Er 0.244 0.500 0.247
Er2 Er 0.248 0.331 0.753
Th1 Th 0.000 0.333 0.000
```

## Properties
Fermi-level density of states: 15.44 states/eV/f.u.
Energy of formation from the pure elements: 0.31 eV per formula unit

Entry 6:
A relaxed Tm4InBi2 crystal. Source: Alexandria, functional PBE.

Cell and atoms, written as CIF:
```
data_Tm4InBi2
_chemical_formula_sum 'Tm32 In8 Bi16'
_cell_length_a 9.484
_cell_length_b 13.674
_cell_length_c 13.694
_cell_angle_alpha 90.00
_cell_angle_beta 90.00
_cell_angle_gamma 90.00
_space_group_name_H-M_alt 'F d d d'
_space_group_IT_number 70
loop_
_space_group_symop_operation_xyz
'x,y,z'
'-x,-y,-z'
'-x+1/4,-y+1/4,z'
'x+1/4,y+1/4,-z'
'x,-y+1/4,-z+1/4'
'-x,y+1/4,z+1/4'
'-x+1/4,y,-z+1/4'
'x+1/4,-y,z+1/4'
'x,y+1/2,z+1/2'
'-x,-y+1/2,-z+1/2'
'-x+1/4,-y+3/4,z+1/2'
'x+1/4,y+3/4,-z+1/2'
'x,-y+3/4,-z+3/4'
'-x,y+3/4,z+3/4'
'-x+1/4,y+1/2,-z+3/4'
'x+1/4,-y+1/2,z+3/4'
'x+1/2,y,z+1/2'
'-x+1/2,-y,-z+1/2'
'-x+3/4,-y+1/4,z+1/2'
'x+3/4,y+1/4,-z+1/2'
'x+1/2,-y+1/4,-z+3/4'
'-x+1/2,y+1/4,z+3/4'
'-x+3/4,y,-z+3/4'
'x+3/4,-y,z+3/4'
'x+1/2,y+1/2,z'
'-x+1/2,-y+1/2,-z'
'-x+3/4,-y+3/4,z'
'x+3/4,y+3/4,-z'
'x+1/2,-y+3/4,-z+1/4'
'-x+1/2,y+3/4,z+1/4'
'-x+3/4,y+1/2,-z+1/4'
'x+3/4,-y+1/2,z+1/4'
loop_
_atom_site_label
_atom_site_type_symbol
_atom_site_fract_x
_atom_site_fract_y
_atom_site_fract_z
Tm1 Tm 0.067 0.279 0.470
In1 In 0.125 0.125 0.625
Bi1 Bi 0.000 0.000 0.000
```

## Properties
Fermi-level density of states: 5.17 states/eV/f.u.
Energy of formation from the pure elements: -2.69 eV per formula unit

Entry 7:
A relaxed YSe2N2 crystal. Source: Alexandria, functional PBE.

Cell and atoms, written as CIF:
```
data_YSe2N2
_chemical_formula_sum 'Y1 Se2 N2'
_cell_length_a 4.025
_cell_length_b 4.025
_cell_length_c 4.997
_cell_angle_alpha 90.00
_cell_angle_beta 90.00
_cell_angle_gamma 90.00
_space_group_name_H-M_alt 'P 4/m m m'
_space_group_IT_number 123
_space_group_name_Hall '-P 4 2'
loop_
_atom_site_label
_atom_site_type_symbol
_atom_site_fract_x
_atom_site_fract_y
_atom_site_fract_z
Y1 Y 0.000 0.000 0.000
Se1 Se 0.500 0.500 0.000
Se2 Se 0.500 0.500 0.500
N1 N 0.000 0.500 0.500
```

## Properties
Uncorrected formation energy: 0.569 eV/atom
Polymorph energy (0 for the lowest one): 0.0 meV per atom
Fermi-level density of states: 2.08 states/eV/f.u.

Entry 8:
A relaxed K2TlRu crystal. Source: Alexandria, functional PBE.

Cell and atoms, written as CIF:
```
data_K2TlRu
_chemical_formula_sum 'K4 Tl2 Ru2'
_cell_length_a 20.292
_cell_length_b 3.417
_cell_length_c 4.282
_cell_angle_alpha 90.00
_cell_angle_beta 102.03
_cell_angle_gamma 90.00
_space_group_name_H-M_alt 'C 1 2/m 1'
_space_group_IT_number 12
loop_
_space_group_symop_operation_xyz
'x,y,z'
'-x,-y,-z'
'-x,y,-z'
'x,-y,z'
'x+1/2,y+1/2,z'
'-x+1/2,-y+1/2,-z'
'-x+1/2,y+1/2,-z'
'x+1/2,-y+1/2,z'
loop_
_atom_site_label
_atom_site_type_symbol
_atom_site_fract_x
_atom_site_fract_y
_atom_site_fract_z
K1 K 0.147 0.000 0.145
Tl1 Tl 0.000 0.000 0.500
Ru1 Ru 0.000 0.500 0.000
```

## Properties
Polymorph energy (0 for the lowest one): 0.0 meV per atom
Fermi-level density of states: 2.24 states/eV/f.u.
Energy of formation from the pure elements: 1.82 eV per formula unit

Entry 9:
A relaxed BaCdP2Se8 crystal. Source: Alexandria, functional PBE.

Cell and atoms, written as CIF:
```
data_BaCdP2Se8
_chemical_formula_sum 'Ba1 Cd1 P2 Se8'
_cell_length_a 6.1000
_cell_length_b 6.1000
_cell_length_c 9.8931
_cell_angle_alpha 90.00
_cell_angle_beta 90.00
_cell_angle_gamma 120.00
_space_group_name_H-M_alt 'P -3'
_space_group_IT_number 147
loop_
_space_group_symop_operation_xyz
'x,y,z'
'-x,-y,-z'
'-y,x-y,z'
'y,-x+y,-z'
'-x+y,-x,z'
'x-y,x,-z'
loop_
_atom_site_label
_atom_site_type_symbol
_atom_site_fract_x
_atom_site_fract_y
_atom_site_fract_z
Ba1 Ba 0.0000 0.0000 0.0000
Cd1 Cd 0.0000 0.0000 0.5000
P1 P 0.3333 0.6667 0.7613
Se1 Se 0.0403 0.6723 0.3085
Se2 Se 0.3333 0.6667 0.9834
```

## Properties
Uncorrected formation energy: -0.390 eV/atom
Fermi-level density of states: 9.58 states/eV/f.u.

Entry 10:
A relaxed KGaB2 crystal. Source: Alexandria, functional PBE.

Cell and atoms, written as CIF:
```
data_KGaB2
_chemical_formula_sum 'K4 Ga4 B8'
_cell_length_a 4.464
_cell_length_b 4.464
_cell_length_c 14.291
_cell_angle_alpha 90.00
_cell_angle_beta 90.00
_cell_angle_gamma 90.00
_space_group_name_H-M_alt 'I 41/a m d'
_space_group_IT_number 141
loop_
_space_group_symop_operation_xyz
'x,y,z'
'-x,-y,-z'
'-y+1/4,x+3/4,z+1/4'
'y+1/4,-x+3/4,-z+1/4'
'-x+1/2,-y,z+1/2'
'x+1/2,y,-z+1/2'
'y+1/4,-x+1/4,z+3/4'
'-y+1/4,x+1/4,-z+3/4'
'x,-y,-z'
'-x,y,z'
'-y+1/4,-x+1/4,-z+3/4'
'y+1/4,x+1/4,z+3/4'
'-x+1/2,y,-z+1/2'
'x+1/2,-y,z+1/2'
'y+1/4,x+3/4,-z+1/4'
'-y+1/4,-x+3/4,z+1/4'
'x+1/2,y+1/2,z+1/2'
'-x+1/2,-y+1/2,-z+1/2'
'-y+3/4,x+1/4,z+3/4'
'y+3/4,-x+1/4,-z+3/4'
'-x,-y+1/2,z'
'x,y+1/2,-z'
'y+3/4,-x+3/4,z+1/4'
'-y+3/4,x+3/4,-z+1/4'
'x+1/2,-y+1/2,-z+1/2'
'-x+1/2,y+1/2,z+1/2'
'-y+3/4,-x+3/4,-z+1/4'
'y+3/4,x+3/4,z+1/4'
'-x,y+1/2,-z'
'x,-y+1/2,z'
'y+3/4,x+1/4,-z+3/4'
'-y+3/4,-x+1/4,z+3/4'
loop_
_atom_site_label
_atom_site_type_symbol
_atom_site_fract_x
_atom_site_fract_y
_atom_site_fract_z
K1 K 0.000 0.250 0.375
Ga1 Ga 0.000 0.250 0.875
B1 B 0.000 0.000 0.000
```

## Properties
Fermi-level density of states: 0.94 states/eV/f.u.
Energy of formation from the pure elements: 3.76 eV per formula unit

Entry 11:
A relaxed Mg3Si3Ir crystal. Source: Alexandria, functional PBE.

Cell and atoms, written as CIF:
```
data_Mg3Si3Ir
_chemical_formula_sum 'Mg12 Si12 Ir4'
_cell_length_a 9.582
_cell_length_b 4.061
_cell_length_c 13.363
_cell_angle_alpha 90.00
_cell_angle_beta 108.31
_cell_angle_gamma 90.00
_space_group_name_H-M_alt 'C 1 2/m 1'
_space_group_IT_number 12
loop_
_space_group_symop_operation_xyz
'x,y,z'
'-x,-y,-z'
'-x,y,-z'
'x,-y,z'
'x+1/2,y+1/2,z'
'-x+1/2,-y+1/2,-z'
'-x+1/2,y+1/2,-z'
'x+1/2,-y+1/2,z'
loop_
_atom_site_label
_atom_site_type_symbol
_atom_site_fract_x
_atom_site_fract_y
_atom_site_fract_z
Mg1 Mg 0.027 0.000 0.379
Mg2 Mg 0.104 0.000 0.915
Mg3 Mg 0.248 0.500 0.762
Si1 Si 0.036 0.500 0.230
Si2 Si 0.108 0.500 0.074
Si3 Si 0.134 0.500 0.535
Ir1 Ir 0.243 0.500 0.388
```

## Properties
Uncorrected formation energy: -0.344 eV/atom
Fermi-level density of states: 1.64 states/eV/f.u.

Entry 12:
A relaxed CaZnSiBr2 crystal. Source: Alexandria, functional PBE.

Cell and atoms, written as CIF:
```
data_CaZnSiBr2
_chemical_formula_sum 'Ca1 Zn1 Si1 Br2'
_cell_length_a 4.863
_cell_length_b 4.863
_cell_length_c 8.115
_cell_angle_alpha 90.00
_cell_angle_beta 90.00
_cell_angle_gamma 90.00
_space_group_name_H-M_alt 'P 4/m m m'
_space_group_IT_number 123
_space_group_name_Hall '-P 4 2'
loop_
_atom_site_label
_atom_site_type_symbol
_atom_site_fract_x
_atom_site_fract_y
_atom_site_fract_z
Ca1 Ca 0.000 0.000 0.000
Zn1 Zn 0.000 0.000 0.500
Si1 Si 0.500 0.500 0.000
Br1 Br 0.000 0.500 0.500
```

## Properties
Uncorrected formation energy: 0.171 eV/atom
Polymorph energy (0 for the lowest one): 212.7 meV per atom
Fermi-level density of states: 3.53 states/eV/f.u.

Entry 13:
A relaxed Ac2AlIn4Ag3 crystal. Source: Alexandria, functional PBE.

Cell and atoms, written as CIF:
```
data_Ac2AlIn4Ag3
_chemical_formula_sum 'Ac2 Al1 In4 Ag3'
_cell_length_a 4.665
_cell_length_b 4.665
_cell_length_c 11.865
_cell_angle_alpha 90.00
_cell_angle_beta 90.00
_cell_angle_gamma 90.00
_space_group_name_H-M_alt 'P -4 m 2'
_space_group_IT_number 115
loop_
_space_group_symop_operation_xyz
'x,y,z'
'y,-x,-z'
'-x,-y,z'
'-y,x,-z'
'-x,y,z'
'-y,-x,-z'
'x,-y,z'
'y,x,-z'
loop_
_atom_site_label
_atom_site_type_symbol
_atom_site_fract_x
_atom_site_fract_y
_atom_site_fract_z
Ac1 Ac 0.000 0.500 0.246
Al1 Al 0.500 0.500 0.000
In1 In 0.000 0.000 0.500
In2 In 0.000 0.500 0.868
In3 In 0.500 0.500 0.500
Ag1 Ag 0.000 0.000 0.000
Ag2 Ag 0.000 0.500 0.638
```

## Properties
Fermi-level density of states: 4.92 states/eV/f.u.
Energy of formation from the pure elements: -3.33 eV per formula unit

Entry 14:
A relaxed Nd2MgCo crystal. Source: Alexandria, functional PBE.

Cell and atoms, written as CIF:
```
data_Nd2MgCo
_chemical_formula_sum 'Nd6 Mg3 Co3'
_cell_length_a 3.9286
_cell_length_b 3.9286
_cell_length_c 25.7332
_cell_angle_alpha 90.00
_cell_angle_beta 90.00
_cell_angle_gamma 120.00
_space_group_name_H-M_alt 'R 3 m'
_space_group_IT_number 160
_space_group_name_Hall 'R 3 -2"'
loop_
_atom_site_label
_atom_site_type_symbol
_atom_site_fract_x
_atom_site_fract_y
_atom_site_fract_z
Nd1 Nd 0.0000 0.0000 0.0000
Nd2 Nd 0.0000 0.0000 0.2137
Mg1 Mg 0.0000 0.0000 0.4404
Co1 Co 0.0000 0.0000 0.6062
```

## Properties
Polymorph energy (0 for the lowest one): 127.4 meV per atom
Fermi-level density of states: 3.38 states/eV/f.u.
Energy of formation from the pure elements: 0.17 eV per formula unit